{"formula": "Pr2ErTm4", "functional": "PBE", "state": "optimized geometry", "volume_a3_per_atom": 32.4, "formation_enthalpy_0k_ev_per_atom": 0.189, "de_polymorph_mev_per_atom": 0, "lattice": [[-7.740, -3.336, -2.791], [0.311, -4.266, 7.773], [-1.080, 8.423, -2.565]], "species": ["Pr", "Pr", "Pr", "Pr", "Er", "Er", "Tm", "Tm", "Tm", "Tm", "Tm", "Tm", "Tm", "Tm"], "fractional_positions": [[0.655, 0.261, 0.610], [0.595, 0.705, 0.106], [0.625, 0.365, 0.239], [0.125, 0.368, 0.743], [0.102, 0.708, 0.608], [0.148, 0.257, 0.106], [0.880, 0.147, 0.269], [0.374, 0.698, 0.325], [0.876, 0.701, 0.823], [0.779, 0.998, 0.723], [0.274, 0.006, 0.228], [0.370, 0.139, 0.767], [0.471, 0.695, 0.719], [0.975, 0.704, 0.232]]}